No. 1
TmSi2AgS6 | GGA-PBE | optimized geometry

Summary:
total magnetization	0.0	μB per formula unit
ρ	3.9	Mg/m³
raw total energy	-5.147	eV/atom

Unit cell a=12.483 b=11.621 c=6.426 alpha=90.00 beta=107.36 gamma=90.00
Space group C2/c (No. 15)
One atom of each set of equivalent atoms:
1 Tm 0.000 0.125 0.250 x4
2 Si 0.202 0.425 0.258 x8
3 Ag 0.000 0.274 0.750 x4
4 S 0.119 0.068 0.657 x8
5 S 0.133 0.438 0.530 x8
6 S 0.140 0.262 0.124 x8

=====

No. 2
CaPuRhN3 | GGA-PBE | optimized geometry

Summary:
total magnetization	3.9	μB per formula unit
ρ	7.6	Mg/m³
raw total energy	-8.682	eV/atom

Unit cell a=6.873 b=3.416 c=7.995 alpha=90.00 beta=92.58 gamma=90.00
Space group P2_1/m (No. 11)
One atom of each set of equivalent atoms:
1 Ca 0.140 0.250 0.166 x2
2 Pu 0.370 0.750 0.840 x2
3 Rh 0.124 0.250 0.590 x2
4 N 0.147 0.250 0.855 x2
5 N 0.247 0.750 0.565 x2
6 N 0.407 0.750 0.120 x2

=====

No. 3
Cs2LaFeI6 | GGA-PBE | optimized geometry

Summary:
total magnetization	3.0	μB per formula unit
ρ	4.6	Mg/m³
raw total energy	-3.527	eV/atom

Unit cell a=12.057 b=12.057 c=12.057 alpha=90.00 beta=90.00 gamma=90.00
Space group Fm-3m (No. 225)
One atom of each set of equivalent atoms:
1 Cs 0.250 0.250 0.250 x8
2 La 0.000 0.000 0.000 x4
3 Fe 0.000 0.000 0.500 x4
4 I 0.000 0.000 0.262 x24

=====

No. 4
TcTeP2 | GGA-PBE | optimized geometry

Summary:
total magnetization	0.5	μB per formula unit
ρ	6.1	Mg/m³
raw total energy	-5.903	eV/atom

Unit cell a=3.2286 b=3.2286 c=26.0714 alpha=90.00 beta=90.00 gamma=120.00
Space group R3m (No. 160, hexagonal axes)
One atom of each set of equivalent atoms:
1 Tc 0.0000 0.0000 0.0000 x3
2 Te 0.0000 0.0000 0.2618 x3
3 P 0.0000 0.0000 0.4597 x3
4 P 0.0000 0.0000 0.7424 x3